[1]
First-principles (PBE-GGA) data for a relaxed structure of NbFeCuW2, as listed in the Alexandria database.

Values from the calculation:
* space-group type: No. 123
* formation enthalpy at 0 K: 1.55 eV per atom
* magnetization: 0.000 μB per atom

a b c (Å): 4.525 4.148 4.525
angles (deg): 90.00 90.00 90.00
Element x y z (fractional)
Cu  0.000  0.000  0.000
Nb  0.500  0.500  0.500
W  0.000  0.000  0.500
W  0.500  0.000  0.000
Fe  0.000  0.500  0.000

---

[2]
First-principles (PBE-GGA) data for a relaxed structure of NdFe4Cu, as listed in the Alexandria database.

Values from the calculation:
* space-group type: No. 216
* formation enthalpy at 0 K: 0.16 eV per atom
* magnetization: 1.593 μB per atom

a b c (Å): 5.032 5.032 5.032
angles (deg): 60.00 60.00 60.00
Last column: magnetic moment on the atom in μB.
Element x y z (fractional)
Fe  0.624  0.624  0.129  2.43
Fe  0.624  0.624  0.624  2.43
Fe  0.624  0.129  0.624  2.43
Fe  0.129  0.624  0.624  2.43
Cu  0.250  0.250  0.250  0.13
Nd  0.000  0.000  0.000  -0.19

---

[3]
First-principles (PBE-GGA) data for a relaxed structure of NdFeCu, as listed in the Alexandria database.

Values from the calculation:
* space-group type: No. 12
* formation enthalpy at 0 K: 0.11 eV per atom
* magnetization: 0.636 μB per atom

a b c (Å): 3.965 5.966 5.528
angles (deg): 101.67 90.00 109.41
Last column: magnetic moment on the atom in μB.
Element x y z (fractional)
Nd  0.891  0.783  0.185  -0.21
Nd  0.109  0.217  0.815  -0.21
Cu  0.792  0.585  0.636  0.06
Cu  0.208  0.415  0.364  0.06
Fe  0.421  0.841  0.610  2.27
Fe  0.579  0.159  0.390  2.27

---

[4]
First-principles (PBE-GGA) data for a relaxed structure of NdFeCu, as listed in the Alexandria database.

Values from the calculation:
* space-group type: No. 38
* formation enthalpy at 0 K: 0.03 eV per atom
* magnetization: 0.560 μB per atom

a b c (Å): 5.260 5.260 8.812
angles (deg): 90.00 90.00 120.48
Last column: magnetic moment on the atom in μB.
Element x y z (fractional)
Fe  0.838  0.162  0.000  2.16
Fe  0.669  0.834  0.500  2.08
Fe  0.165  0.835  0.500  2.08
Fe  0.166  0.331  0.500  2.08
Nd  0.667  0.333  0.314  -0.26
Nd  0.333  0.667  0.189  -0.20
Nd  0.667  0.333  0.686  -0.26
Nd  0.333  0.667  0.811  -0.20
Cu  0.998  0.002  0.747  0.03
Cu  0.329  0.163  0.000  -0.01
Cu  0.837  0.671  0.000  -0.01
Cu  0.998  0.002  0.253  0.03

---

- Among the records above, which one has the lowest magnetization?
  NbFeCuW2

---

- Number 2 is which compound?
  NdFe4Cu

---

- formation enthalpy at 0 K of number 2 (NdFe4Cu)?
  0.16 eV per atom